Record 1
This record from the Alexandria database describes a relaxed YEr6Tm12 crystal. The functional is PBE.

- formation energy (meV per atom) = 167.5
- E (eV/atom) = -4.44
- calculated volume (Å³ per cell) = 594.6
- spin magnetization (μB/cell) = 0.00
- ΔE to the lowest computed polymorph (kJ per mole of atoms) = 0.0

a = 8.4136 Å, b = 8.4136 Å, c = 8.4136 Å
α = 88.06°, β = 88.06°, γ = 88.06°
With the nearest neighbours (Å) after each atom.
Element x y z (fractional)
Er  0.2549  0.0903  0.6858  6 Tm 3.20-3.57, 1 Y 3.43, 2 Er 3.44
Er  0.3142  0.7451  0.9097  6 Tm 3.20-3.57, 1 Y 3.43, 2 Er 3.44
Er  0.6858  0.2549  0.0903  6 Tm 3.20-3.57, 1 Y 3.43, 2 Er 3.44
Er  0.9097  0.3142  0.7451  6 Tm 3.20-3.57, 1 Y 3.43, 2 Er 3.44
Er  0.0903  0.6858  0.2549  6 Tm 3.20-3.57, 1 Y 3.43, 2 Er 3.44
Er  0.7451  0.9097  0.3142  6 Tm 3.20-3.57, 1 Y 3.43, 2 Er 3.44
Tm  0.5451  0.4361  0.7723  3 Er 3.20-3.40, 6 Tm 3.24-3.47
Tm  0.5639  0.2277  0.4549  3 Er 3.20-3.40, 6 Tm 3.24-3.47
Tm  0.4361  0.7723  0.5451  3 Er 3.20-3.40, 6 Tm 3.24-3.47
Tm  0.7872  0.6449  0.9923  4 Tm 3.37-3.54, 4 Er 3.46-3.63, 1 Y 3.54
Tm  0.9923  0.7872  0.6449  4 Tm 3.37-3.54, 4 Er 3.46-3.63, 1 Y 3.54
Tm  0.6449  0.9923  0.7872  4 Tm 3.37-3.54, 4 Er 3.46-3.63, 1 Y 3.54
Tm  0.3551  0.0077  0.2128  4 Tm 3.37-3.54, 4 Er 3.46-3.63, 1 Y 3.54
Tm  0.2128  0.3551  0.0077  4 Tm 3.37-3.54, 4 Er 3.46-3.63, 1 Y 3.54
Tm  0.2277  0.4549  0.5639  3 Er 3.20-3.40, 6 Tm 3.24-3.47
Tm  0.4549  0.5639  0.2277  3 Er 3.20-3.40, 6 Tm 3.24-3.47
Tm  0.0077  0.2128  0.3551  4 Tm 3.37-3.54, 4 Er 3.46-3.63, 1 Y 3.54
Tm  0.7723  0.5451  0.4361  3 Er 3.20-3.40, 6 Tm 3.24-3.47
Y  0.0000  0.0000  0.0000  6 Er 3.43, 6 Tm 3.54


Record 2
This record from the Alexandria database describes a relaxed Tb4DyY8 crystal. The functional is PBE.

- formation energy (meV per atom) = 214.3
- E (eV/atom) = -5.54
- calculated volume (Å³ per cell) = 423.4
- spin magnetization (μB/cell) = 0.00

a = 7.3070 Å, b = 7.3070 Å, c = 10.0827 Å
α = 90.00°, β = 111.25°, γ = 120.00°
With the nearest neighbours (Å) after each atom.
Element x y z (fractional)
Y  0.9485  0.1987  0.6982  1 Dy 2.95, 2 Y 3.28
Y  0.0515  0.8013  0.3018  1 Dy 2.95, 2 Y 3.28
Y  0.9485  0.7498  0.6982  1 Dy 2.95, 2 Y 3.28
Y  0.4995  0.7498  0.6982  1 Dy 2.95, 2 Y 3.28
Y  0.5005  0.2502  0.3018  1 Dy 2.95, 2 Y 3.28
Y  0.4308  0.2154  0.6462  9 Y 3.68-3.69, 3 Tb 3.87
Y  0.0515  0.2502  0.3018  1 Dy 2.95, 2 Y 3.28
Y  0.5692  0.7846  0.3538  9 Y 3.68-3.69, 3 Tb 3.87
Dy  0.0000  0.5000  0.5000  6 Y 2.95
Tb  0.5000  0.0000  0.0000  6 Y 3.55-3.87, 6 Tb 3.65
Tb  0.0000  0.5000  0.0000  6 Y 3.55-3.87, 6 Tb 3.65
Tb  0.0000  0.0000  0.0000  6 Y 3.35, 6 Tb 3.65
Tb  0.5000  0.5000  0.0000  6 Y 3.55-3.87, 6 Tb 3.65


Record 3
This record from the Alexandria database describes a relaxed ErPu2ZrP4 crystal. The functional is PBE.

- formation energy (meV per atom) = -1331.5
- E (eV/atom) = -9.26
- calculated volume (Å³ per cell) = 169.4
- spin magnetization (μB/cell) = 0.15

a = 3.9188 Å, b = 6.7861 Å, c = 6.7601 Å
α = 109.54°, β = 90.00°, γ = 90.00°
With the nearest neighbours (Å) after each atom.
Element x y z (fractional)
P  0.0000  0.7570  0.2451  1 Zr 2.70, 3 Pu 2.76-2.83, 2 Er 2.77
P  0.5000  0.2417  0.2413  2 Zr 2.72, 1 Er 2.77, 3 Pu 2.77-2.81
P  0.0000  0.2430  0.7549  1 Zr 2.70, 3 Pu 2.76-2.83, 2 Er 2.77
P  0.5000  0.7583  0.7587  2 Zr 2.72, 1 Er 2.77, 3 Pu 2.77-2.81
Pu  0.5000  0.0000  0.5000  6 P 2.76-2.77
Pu  0.0000  0.5000  0.5000  6 P 2.81-2.83
Er  0.5000  0.5000  0.0000  6 P 2.77
Zr  0.0000  0.0000  0.0000  6 P 2.70-2.72


Record 4
This record from the Alexandria database describes a relaxed CePa3N6 crystal. The functional is PBE.

- energy relative to the elements, uncorrected (eV per atom) = -1.5565
- E (eV/atom) = -9.99
- calculated volume (Å³ per cell) = 161.1
- spin magnetization (μB/cell) = 0.26
- ΔE to the lowest computed polymorph (kJ per mole of atoms) = 7.6

a = 3.6820 Å, b = 6.8239 Å, c = 6.8239 Å
α = 110.01°, β = 90.00°, γ = 90.00°
With the nearest neighbours (Å) after each atom.
Element x y z (fractional)
N  0.0000  0.3352  0.0777  3 Pa 2.16-2.31
N  0.0000  0.0777  0.3352  3 Pa 2.16-2.31
N  0.5000  0.6461  0.3539  2 Pa 2.28, 2 Ce 2.46
N  0.0000  0.6648  0.9223  3 Pa 2.16-2.31
N  0.0000  0.9223  0.6648  3 Pa 2.16-2.31
N  0.5000  0.3539  0.6461  2 Pa 2.28, 2 Ce 2.46
Pa  0.0000  0.0000  0.0000  4 N 2.16
Pa  0.5000  0.5000  0.0000  6 N 2.28-2.31
Pa  0.5000  0.0000  0.5000  6 N 2.28-2.31
Ce  0.0000  0.5000  0.5000  8 N 2.46-2.71


Please write out number 3 again, unchanged.
This record from the Alexandria database describes a relaxed ErPu2ZrP4 crystal. The functional is PBE.

- formation energy (meV per atom) = -1331.5
- E (eV/atom) = -9.26
- calculated volume (Å³ per cell) = 169.4
- spin magnetization (μB/cell) = 0.15

a = 3.9188 Å, b = 6.7861 Å, c = 6.7601 Å
α = 109.54°, β = 90.00°, γ = 90.00°
With the nearest neighbours (Å) after each atom.
Element x y z (fractional)
P  0.0000  0.7570  0.2451  1 Zr 2.70, 3 Pu 2.76-2.83, 2 Er 2.77
P  0.5000  0.2417  0.2413  2 Zr 2.72, 1 Er 2.77, 3 Pu 2.77-2.81
P  0.0000  0.2430  0.7549  1 Zr 2.70, 3 Pu 2.76-2.83, 2 Er 2.77
P  0.5000  0.7583  0.7587  2 Zr 2.72, 1 Er 2.77, 3 Pu 2.77-2.81
Pu  0.5000  0.0000  0.5000  6 P 2.76-2.77
Pu  0.0000  0.5000  0.5000  6 P 2.81-2.83
Er  0.5000  0.5000  0.0000  6 P 2.77
Zr  0.0000  0.0000  0.0000  6 P 2.70-2.72